# NbH2W2

A relaxed NbH2W2 crystal (PBE-GGA, Alexandria).

Lattice parameters (Å, degrees): 3.3259 3.3259 10.0915 90.00 90.00 90.00
Space group I4/mmm (No. 139)
Symmetry-distinct sites (fractional):
Nb  0.0000  0.0000  0.0000 (multiplicity 2)
H  0.0000  0.5000  0.2500 (multiplicity 4)
W  0.0000  0.0000  0.3438 (multiplicity 4)

Computed properties:
Theoretical density   13.8 g/cm³
Total moment   0.00 Bohr magnetons per cell
Energy   -83.6 eV per cell
Calculated volume   111.6 Å³/cell